Compound: ZrSiAg
Source: the Alexandria database
Functional: GGA-PBE
Structure: optimized geometry

Calculated values
- formation energy (no corrections) (kJ/mol of atoms) = -11
- theoretical density (g/cm3) = 6.93
- N(E_F) (states/eV/atom) = 0.58

```
ZrSiAg
1.0
-2.149 5.770 -0.259
-1.931 4.771 -3.190
-3.086 -0.188 0.281
Zr Ag Si
1 1 1
Direct
0.679 0.679 0.321
0.984 0.984 0.016
0.337 0.337 0.663
```